[1]
# GaAg3Ru (PBE-GGA, relaxed)
data_GaAg3Ru
_chemical_formula_sum 'Ga1 Ag3 Ru1'
_cell_length_a 4.736
_cell_length_b 4.736
_cell_length_c 4.736
_cell_angle_alpha 90.00
_cell_angle_beta 90.00
_cell_angle_gamma 90.00
_space_group_name_H-M_alt 'P 1'
_space_group_IT_number 1
_space_group_name_Hall 'P 1'
loop_
_atom_site_label
_atom_site_fract_x
_atom_site_fract_y
_atom_site_fract_z
Ru1 0.500 0.500 0.500
Ga1 0.000 0.000 0.000
Ag1 0.000 0.000 0.500
Ag2 0.000 0.500 0.000
Ag3 0.500 0.000 0.000
# - total energy (hartree per atom) = -0.1136
# - energy above the lowest structure with this stoichiometry (meV per atom) = 0.0
# - crystal system = cubic
# - calculated volume (Å³/atom) = 21.245
# - SG = Pm-3m, No. 221
# - formation enthalpy at 0 K (eV per atom) = 1.079

---

[2]
# Ga2Ag2Ru (PBE-GGA, relaxed)
data_Ga2Ag2Ru
_chemical_formula_sum 'Ga4 Ag4 Ru2'
_cell_length_a 6.577
_cell_length_b 6.577
_cell_length_c 3.911
_cell_angle_alpha 90.00
_cell_angle_beta 90.00
_cell_angle_gamma 90.00
_space_group_name_H-M_alt 'P 1'
_space_group_IT_number 1
_space_group_name_Hall 'P 1'
loop_
_atom_site_label
_atom_site_fract_x
_atom_site_fract_y
_atom_site_fract_z
Ag1 0.165 0.665 0.500
Ag2 0.665 0.835 0.500
Ag3 0.835 0.335 0.500
Ag4 0.335 0.165 0.500
Ga1 0.353 0.853 0.000
Ga2 0.853 0.647 0.000
Ga3 0.147 0.353 0.000
Ga4 0.647 0.147 0.000
Ru1 0.500 0.500 0.000
Ru2 0.000 0.000 0.000
# - total energy (hartree per atom) = -0.1482
# - crystal system = tetragonal
# - calculated volume (Å³/atom) = 16.918
# - SG = P4/mbm, No. 127
# - formation enthalpy at 0 K (eV per atom) = 0.173

---

[3]
# Ga3AgRu (PBE-GGA, relaxed)
data_Ga3AgRu
_chemical_formula_sum 'Ga3 Ag1 Ru1'
_cell_length_a 4.774
_cell_length_b 4.774
_cell_length_c 4.774
_cell_angle_alpha 90.00
_cell_angle_beta 90.00
_cell_angle_gamma 90.00
_space_group_name_H-M_alt 'P 1'
_space_group_IT_number 1
_space_group_name_Hall 'P 1'
loop_
_atom_site_label
_atom_site_fract_x
_atom_site_fract_y
_atom_site_fract_z
Ag1 0.500 0.500 0.500
Ru1 0.000 0.000 0.000
Ga1 0.000 0.000 0.500
Ga2 0.500 0.000 0.000
Ga3 0.000 0.500 0.000
# - total energy (hartree per atom) = -0.1518
# - energy above the lowest structure with this stoichiometry (meV per atom) = 0.0
# - crystal system = cubic
# - calculated volume (Å³/atom) = 21.766
# - SG = Pm-3m, No. 221
# - formation enthalpy at 0 K (eV per atom) = 0.110

---

[4]
# GaAgRu2 (PBE-GGA, relaxed)
data_GaAgRu2
_chemical_formula_sum 'Ga2 Ag2 Ru4'
_cell_length_a 7.296
_cell_length_b 7.296
_cell_length_c 5.733
_cell_angle_alpha 50.49
_cell_angle_beta 50.49
_cell_angle_gamma 90.00
_space_group_name_H-M_alt 'P 1'
_space_group_IT_number 1
_space_group_name_Hall 'P 1'
loop_
_atom_site_label
_atom_site_fract_x
_atom_site_fract_y
_atom_site_fract_z
Ag1 0.750 0.250 0.500
Ag2 0.000 0.000 0.000
Ru1 0.170 0.625 0.250
Ru2 0.375 0.420 0.750
Ru3 0.580 0.125 0.250
Ru4 0.875 0.830 0.750
Ga1 0.500 0.500 0.000
Ga2 0.250 0.750 0.500
# - total energy (hartree per atom) = -0.2026
# - crystal system = tetragonal
# - calculated volume (Å³/atom) = 16.644
# - SG = I-42d, No. 122
# - formation enthalpy at 0 K (eV per atom) = 0.596

---

[5]
# GaAg3Ru (PBE-GGA, relaxed)
data_GaAg3Ru
_chemical_formula_sum 'Ga1 Ag3 Ru1'
_cell_length_a 5.106
_cell_length_b 5.106
_cell_length_c 5.106
_cell_angle_alpha 90.00
_cell_angle_beta 90.00
_cell_angle_gamma 90.00
_space_group_name_H-M_alt 'P 1'
_space_group_IT_number 1
_space_group_name_Hall 'P 1'
loop_
_atom_site_label
_atom_site_fract_x
_atom_site_fract_y
_atom_site_fract_z
Ga1 0.500 0.500 0.500
Ag1 0.500 0.000 0.000
Ag2 0.000 0.500 0.000
Ag3 0.000 0.000 0.500
Ru1 0.000 0.000 0.000
# - total energy (hartree per atom) = -0.1093
# - energy above the lowest structure with this stoichiometry (meV per atom) = 118.7
# - crystal system = cubic
# - calculated volume (Å³/atom) = 26.631
# - SG = Pm-3m, No. 221
# - formation enthalpy at 0 K (eV per atom) = 1.198

---

[6]
# GaAg2Ru (PBE-GGA, relaxed)
data_GaAg2Ru
_chemical_formula_sum 'Ga2 Ag4 Ru2'
_cell_length_a 3.719
_cell_length_b 3.719
_cell_length_c 10.402
_cell_angle_alpha 79.70
_cell_angle_beta 79.70
_cell_angle_gamma 90.00
_space_group_name_H-M_alt 'P 1'
_space_group_IT_number 1
_space_group_name_Hall 'P 1'
loop_
_atom_site_label
_atom_site_fract_x
_atom_site_fract_y
_atom_site_fract_z
Ru1 0.000 0.000 0.000
Ru2 0.750 0.250 0.500
Ag1 0.625 0.125 0.250
Ag2 0.125 0.625 0.250
Ag3 0.375 0.375 0.750
Ag4 0.875 0.875 0.750
Ga1 0.500 0.500 0.000
Ga2 0.250 0.750 0.500
# - total energy (hartree per atom) = -0.1520
# - crystal system = tetragonal
# - calculated volume (Å³/atom) = 17.404
# - SG = I-42d, No. 122
# - formation enthalpy at 0 K (eV per atom) = 0.365

---

[7]
# ScGaAgRu (PBE-GGA, relaxed)
data_ScGaAgRu
_chemical_formula_sum 'Sc1 Ga1 Ag1 Ru1'
_cell_length_a 4.531
_cell_length_b 4.531
_cell_length_c 4.531
_cell_angle_alpha 60.00
_cell_angle_beta 60.00
_cell_angle_gamma 60.00
_space_group_name_H-M_alt 'P 1'
_space_group_IT_number 1
_space_group_name_Hall 'P 1'
loop_
_atom_site_label
_atom_site_fract_x
_atom_site_fract_y
_atom_site_fract_z
Ag1 0.750 0.750 0.750
Sc1 0.500 0.500 0.500
Ru1 0.250 0.250 0.250
Ga1 0.000 0.000 0.000
# - total energy (hartree per atom) = -0.2085
# - crystal system = cubic
# - calculated volume (Å³/atom) = 16.443
# - SG = F-43m, No. 216
# - formation enthalpy at 0 K (eV per atom) = -0.303

---

[8]
# ScGa2AgRu (PBE-GGA, relaxed)
data_ScGa2AgRu
_chemical_formula_sum 'Sc1 Ga2 Ag1 Ru1'
_cell_length_a 5.176
_cell_length_b 4.536
_cell_length_c 5.176
_cell_angle_alpha 90.00
_cell_angle_beta 90.00
_cell_angle_gamma 90.00
_space_group_name_H-M_alt 'P 1'
_space_group_IT_number 1
_space_group_name_Hall 'P 1'
loop_
_atom_site_label
_atom_site_fract_x
_atom_site_fract_y
_atom_site_fract_z
Ga1 0.500 0.000 0.000
Ga2 0.000 0.000 0.500
Sc1 0.000 0.000 0.000
Ag1 0.500 0.500 0.500
Ru1 0.000 0.500 0.000
# - total energy (hartree per atom) = -0.1468
# - crystal system = tetragonal
# - calculated volume (Å³/atom) = 24.306
# - SG = P4/mmm, No. 123
# - formation enthalpy at 0 K (eV per atom) = 0.908